No. 1
Density functional theory data (GGA-PBE) for crystalline NiBTe at its relaxed geometry.

```
data_NiBTe
_cell_length_a 4.050
_cell_length_b 4.050
_cell_length_c 4.050
_cell_angle_alpha 60.00
_cell_angle_beta 60.00
_cell_angle_gamma 60.00
_space_group_name_H-M_alt 'P 1'
_space_group_IT_number 1
_space_group_name_Hall 'P 1'
loop_
_atom_site_label
_atom_site_type_symbol
_atom_site_fract_x
_atom_site_fract_y
_atom_site_fract_z
B1 B 0.250 0.250 0.250
Ni1 Ni 0.000 0.000 0.000
Te1 Te 0.750 0.750 0.750
```

Properties
The energy above the most stable polymorph in this dataset is 0 meV/atom.


No. 2
Density functional theory data (GGA-PBE) for crystalline Er2Se3 at its relaxed geometry.

```
data_Er2Se3
_cell_length_a 6.999
_cell_length_b 6.999
_cell_length_c 12.795
_cell_angle_alpha 100.62
_cell_angle_beta 100.62
_cell_angle_gamma 109.03
_space_group_name_H-M_alt 'P 1'
_space_group_IT_number 1
_space_group_name_Hall 'P 1'
loop_
_atom_site_label
_atom_site_type_symbol
_atom_site_fract_x
_atom_site_fract_y
_atom_site_fract_z
Er1 Er 0.041 0.791 0.082
Er2 Er 0.622 0.872 0.245
Er3 Er 0.128 0.378 0.255
Er4 Er 0.209 0.959 0.418
Er5 Er 0.791 0.041 0.582
Er6 Er 0.872 0.622 0.745
Er7 Er 0.378 0.128 0.755
Er8 Er 0.959 0.209 0.918
Se1 Se 0.802 0.048 0.087
Se2 Se 0.285 0.539 0.087
Se3 Se 0.369 0.119 0.250
Se4 Se 0.881 0.631 0.250
Se5 Se 0.952 0.198 0.413
Se6 Se 0.461 0.715 0.413
Se7 Se 0.539 0.285 0.587
Se8 Se 0.048 0.802 0.587
Se9 Se 0.119 0.369 0.750
Se10 Se 0.631 0.881 0.750
Se11 Se 0.715 0.461 0.913
Se12 Se 0.198 0.952 0.913
```

Properties
Its electronic total energy is -116.0 eV for the cell shown.


No. 3
Density functional theory data (GGA-PBE) for crystalline SmTmTlSe3 at its relaxed geometry.

```
data_SmTmTlSe3
_cell_length_a 7.610
_cell_length_b 7.610
_cell_length_c 11.554
_cell_angle_alpha 90.00
_cell_angle_beta 90.00
_cell_angle_gamma 146.66
_space_group_name_H-M_alt 'P 1'
_space_group_IT_number 1
_space_group_name_Hall 'P 1'
loop_
_atom_site_label
_atom_site_type_symbol
_atom_site_fract_x
_atom_site_fract_y
_atom_site_fract_z
Se1 Se 0.135 0.865 0.044
Se2 Se 0.439 0.561 0.250
Se3 Se 0.135 0.865 0.456
Se4 Se 0.865 0.135 0.544
Se5 Se 0.561 0.439 0.750
Se6 Se 0.865 0.135 0.956
Sm1 Sm 0.500 0.500 0.000
Sm2 Sm 0.500 0.500 0.500
Tl1 Tl 0.757 0.243 0.250
Tl2 Tl 0.243 0.757 0.750
Tm1 Tm 0.051 0.949 0.250
Tm2 Tm 0.949 0.051 0.750
```

Properties
Its electronic total energy is -59.5 eV for the cell shown.


No. 4
Density functional theory data (GGA-PBE) for crystalline Nb2Al2O5 at its relaxed geometry.

```
data_Nb2Al2O5
_cell_length_a 7.182
_cell_length_b 4.027
_cell_length_c 4.027
_cell_angle_alpha 90.00
_cell_angle_beta 90.00
_cell_angle_gamma 90.00
_space_group_name_H-M_alt 'P 1'
_space_group_IT_number 1
_space_group_name_Hall 'P 1'
loop_
_atom_site_label
_atom_site_type_symbol
_atom_site_fract_x
_atom_site_fract_y
_atom_site_fract_z
Al1 Al 0.000 0.000 0.000
Al2 Al 0.500 0.000 0.000
Nb1 Nb 0.216 0.500 0.500
Nb2 Nb 0.784 0.500 0.500
O1 O 0.196 0.500 0.000
O2 O 0.804 0.500 0.000
O3 O 0.196 0.000 0.500
O4 O 0.804 0.000 0.500
O5 O 0.500 0.500 0.500
```

Properties
The energy above the most stable polymorph in this dataset is 324 meV/atom.


No. 5
Density functional theory data (GGA-PBE) for crystalline BeReBW at its relaxed geometry.

```
data_BeReBW
_cell_length_a 3.974
_cell_length_b 3.974
_cell_length_c 3.974
_cell_angle_alpha 60.00
_cell_angle_beta 60.00
_cell_angle_gamma 60.00
_space_group_name_H-M_alt 'P 1'
_space_group_IT_number 1
_space_group_name_Hall 'P 1'
loop_
_atom_site_label
_atom_site_type_symbol
_atom_site_fract_x
_atom_site_fract_y
_atom_site_fract_z
B1 B 0.250 0.250 0.250
Be1 Be 0.750 0.750 0.750
Re1 Re 0.500 0.500 0.500
W1 W 0.000 0.000 0.000
```

Properties
The energy above the most stable polymorph in this dataset is 0 meV/atom.


No. 6
Density functional theory data (GGA-PBE) for crystalline Li4ZnGe2Au at its relaxed geometry.

```
data_Li4ZnGe2Au
_cell_length_a 4.371
_cell_length_b 4.371
_cell_length_c 6.171
_cell_angle_alpha 90.00
_cell_angle_beta 90.00
_cell_angle_gamma 90.00
_space_group_name_H-M_alt 'P 1'
_space_group_IT_number 1
_space_group_name_Hall 'P 1'
loop_
_atom_site_label
_atom_site_type_symbol
_atom_site_fract_x
_atom_site_fract_y
_atom_site_fract_z
Au1 Au 0.000 0.000 0.000
Ge1 Ge 0.000 0.500 0.256
Ge2 Ge 0.500 0.000 0.744
Li1 Li 0.500 0.500 0.000
Li2 Li 0.500 0.000 0.246
Li3 Li 0.000 0.000 0.500
Li4 Li 0.000 0.500 0.754
Zn1 Zn 0.500 0.500 0.500
```

Properties
Its electronic total energy is -24.7 eV for the cell shown.


No. 7
Density functional theory data (GGA-PBE) for crystalline ThBeAs at its relaxed geometry.

```
data_ThBeAs
_cell_length_a 4.431
_cell_length_b 4.431
_cell_length_c 4.431
_cell_angle_alpha 60.00
_cell_angle_beta 60.00
_cell_angle_gamma 60.00
_space_group_name_H-M_alt 'P 1'
_space_group_IT_number 1
_space_group_name_Hall 'P 1'
loop_
_atom_site_label
_atom_site_type_symbol
_atom_site_fract_x
_atom_site_fract_y
_atom_site_fract_z
As1 As 0.250 0.250 0.250
Be1 Be 0.000 0.000 0.000
Th1 Th 0.750 0.750 0.750
```

Properties
The energy above the most stable polymorph in this dataset is 0 meV/atom.


No. 8
Density functional theory data (GGA-PBE) for crystalline Lu2Sc4Cd3C3 at its relaxed geometry.

```
data_Lu2Sc4Cd3C3
_cell_length_a 5.880
_cell_length_b 5.884
_cell_length_c 15.742
_cell_angle_alpha 79.29
_cell_angle_beta 79.24
_cell_angle_gamma 60.02
_space_group_name_H-M_alt 'P 1'
_space_group_IT_number 1
_space_group_name_Hall 'P 1'
loop_
_atom_site_label
_atom_site_type_symbol
_atom_site_fract_x
_atom_site_fract_y
_atom_site_fract_z
C1 C 0.167 0.166 0.000
C2 C 0.500 0.500 0.000
C3 C 0.833 0.834 0.000
C4 C 0.667 0.666 0.500
C5 C 0.000 0.000 0.500
C6 C 0.333 0.334 0.500
Cd1 Cd 0.897 0.268 0.249
Cd2 Cd 0.930 0.750 0.250
Cd3 Cd 0.414 0.232 0.251
Cd4 Cd 0.586 0.768 0.749
Cd5 Cd 0.070 0.250 0.750
Cd6 Cd 0.103 0.732 0.751
Lu1 Lu 0.469 0.804 0.093
Lu2 Lu 0.366 0.696 0.407
Lu3 Lu 0.634 0.304 0.593
Lu4 Lu 0.531 0.196 0.907
Sc1 Sc 0.805 0.142 0.075
Sc2 Sc 0.144 0.472 0.075
Sc3 Sc 0.691 0.028 0.425
Sc4 Sc 0.023 0.358 0.425
Sc5 Sc 0.977 0.642 0.575
Sc6 Sc 0.309 0.972 0.575
Sc7 Sc 0.856 0.528 0.925
Sc8 Sc 0.195 0.858 0.925
```

Properties
Its electronic total energy is -139.7 eV for the cell shown.